Compound: Na3NbCr3O8
Source: Alexandria via LeMat-Bulk
Functional: PBE+U
Structure: optimized geometry

a b c (Å): 6.5488 6.5488 6.5488
angles (deg): 55.50 55.50 55.50
Positions (direct):
Na1 0.0000 0.5000 0.5000
Na2 0.5000 0.0000 0.5000
Na3 0.5000 0.5000 0.0000
Nb1 0.5000 0.5000 0.5000
Cr1 0.0000 0.0000 0.5000
Cr2 0.0000 0.5000 0.0000
Cr3 0.5000 0.0000 0.0000
O1 0.2285 0.7333 0.7333
O2 0.2313 0.2313 0.2313
O3 0.2667 0.2667 0.7715
O4 0.2667 0.7715 0.2667
O5 0.7333 0.2285 0.7333
O6 0.7333 0.7333 0.2285
O7 0.7687 0.7687 0.7687
O8 0.7715 0.2667 0.2667

Symmetry   R-3m

---

Compound: Na2NbCrO6
Source: Alexandria via LeMat-Bulk
Functional: PBE+U
Structure: optimized geometry

a b c (Å): 5.4889 7.7671 5.5163
angles (deg): 90.00 90.00 90.00
Positions (direct):
Na1 0.2500 0.0004 0.2499
Na2 0.2500 0.4996 0.2499
Na3 0.7500 0.9996 0.7501
Na4 0.7500 0.5004 0.7501
Nb1 0.2500 0.2500 0.7493
Nb2 0.7500 0.7500 0.2507
Cr1 0.2500 0.7500 0.7506
Cr2 0.7500 0.2500 0.2494
O1 0.0054 0.7500 0.5062
O2 0.0056 0.7500 0.9946
O3 0.2500 0.5075 0.7501
O4 0.2500 0.9925 0.7501
O5 0.4944 0.7500 0.9946
O6 0.4946 0.7500 0.5062
O7 0.5054 0.2500 0.4938
O8 0.5056 0.2500 0.0054
O9 0.7500 0.0075 0.2499
O10 0.7500 0.4925 0.2499
O11 0.9944 0.2500 0.0054
O12 0.9946 0.2500 0.4938

Symmetry   Pmmn

---

Magnetization across the listed records, respectively: 7.998 1.967 μB per cell.
Electronic total energy across the listed records, respectively: -7.04 -6.85 eV/atom.